[1]
The following is a PBE-GGA calculation of a relaxed Ce2Zn6In3 crystal, from the Alexandria database.

Geometry as POSCAR:
```
Ce2Zn6In3
1.0
4.352 0.000 0.000
0.000 7.500 -0.532
0.000 0.294 7.514
Ce Zn In
2 6 3
Cartesian
0.000 2.341 5.229
0.000 5.454 1.753
2.176 3.029 2.713
2.176 4.766 4.268
2.176 0.421 2.632
2.176 7.373 4.350
2.176 2.662 0.130
2.176 5.133 6.851
0.000 1.769 1.585
0.000 6.025 5.397
2.176 0.000 0.000
```

Calculated values
The calculation puts the volume at 22.36 A^3/atom. Its final energy is -2.616 eV/atom. Its density of states at the Fermi level is 17.60 states/eV/f.u. The energy of formation from the pure elements comes out at -0.10 eV/atom.


[2]
The following is a PBE-GGA calculation of a relaxed Ce3Zn8In crystal, from the Alexandria database.

Geometry as POSCAR:
```
Ce3Zn8In
1.0
-3.062 3.144 3.336
-1.818 -2.024 4.795
5.806 3.308 6.767
Ce Zn In
3 8 1
Cartesian
3.254 3.316 8.972
-4.877 1.121 8.132
0.448 2.208 7.440
-2.588 2.666 6.482
0.958 1.748 10.609
-1.068 1.105 4.827
-0.580 3.328 12.285
1.662 1.672 4.505
2.058 3.859 11.917
-1.971 0.100 7.207
0.333 4.345 9.876
-2.063 2.232 9.668
```

Calculated values
The calculation puts the volume at 19.65 A^3/atom. Its final energy is -2.770 eV/atom. Its density of states at the Fermi level is 18.12 states/eV/f.u. The energy of formation from the pure elements comes out at -0.21 eV/atom.


[3]
The following is a PBE-GGA calculation of a relaxed Ce8ZnIn2 crystal, from the Alexandria database.

Geometry as POSCAR:
```
Ce8ZnIn2
1.0
-3.732 0.638 -3.730
4.203 -3.043 -4.401
-2.561 -6.396 5.850
Ce Zn In
8 1 2
Cartesian
-0.890 -2.316 -2.872
-2.582 -4.566 2.254
-0.904 -2.762 0.984
-3.224 -7.860 -0.833
-1.187 -6.039 -3.265
0.491 -4.235 -4.535
-1.200 -6.485 0.591
1.133 -0.942 -1.447
-1.866 0.319 -1.865
0.969 -4.426 -1.309
-3.060 -4.375 -0.971
```

Calculated values
The calculation puts the volume at 26.57 A^3/atom. Its final energy is -5.058 eV/atom. Its density of states at the Fermi level is 31.20 states/eV/f.u. The energy of formation from the pure elements comes out at -0.13 eV/atom.


[4]
The following is a PBE-GGA calculation of a relaxed Ce6Zn5In crystal, from the Alexandria database.

Geometry as POSCAR:
```
Ce6Zn5In
1.0
-5.148 1.251 0.392
-0.874 -5.044 4.612
4.705 6.979 3.377
Zn Ce In
5 6 1
Cartesian
0.733 0.990 6.369
-2.429 -0.160 4.513
-0.437 -2.522 2.306
1.114 3.346 3.869
-2.048 2.196 2.012
0.358 0.427 3.262
-0.054 -1.944 5.430
-2.825 -0.828 1.526
1.509 4.014 6.855
-1.262 5.130 2.951
-1.674 2.759 5.119
0.000 0.000 0.000
```

Calculated values
The calculation puts the volume at 24.26 A^3/atom. Its final energy is -3.914 eV/atom. Its density of states at the Fermi level is 34.11 states/eV/f.u. The energy of formation from the pure elements comes out at -0.19 eV/atom.


[5]
The following is a PBE-GGA calculation of a relaxed CeZnIn crystal, from the Alexandria database.

Geometry as POSCAR:
```
CeZnIn
1.0
4.405 0.009 1.806
2.423 5.525 0.337
0.096 -0.195 6.038
Ce Zn In
2 2 2
Cartesian
3.087 4.374 5.648
4.045 1.672 3.327
4.286 5.172 2.720
2.702 1.278 6.602
0.994 1.918 4.491
1.806 3.914 2.501
```

Calculated values
The calculation puts the volume at 24.22 A^3/atom. Its final energy is -3.644 eV/atom. Its density of states at the Fermi level is 5.62 states/eV/f.u. The energy of formation from the pure elements comes out at -0.33 eV/atom.


[6]
The following is a PBE-GGA calculation of a relaxed Ce3Zn2In4 crystal, from the Alexandria database.

Geometry as POSCAR:
```
Ce3Zn2In4
1.0
4.895 0.000 0.000
-2.448 5.189 -2.028
0.000 -0.869 9.185
Ce Zn In
3 2 4
Cartesian
2.448 1.144 5.408
0.000 0.000 0.000
0.000 3.176 1.749
2.448 0.913 2.126
0.000 3.407 5.032
2.448 2.227 -0.307
0.000 2.093 7.465
2.448 4.062 3.874
0.000 0.258 3.284
```

Calculated values
The calculation puts the volume at 24.96 A^3/atom. Its final energy is -3.817 eV/atom. Its density of states at the Fermi level is 17.78 states/eV/f.u. The energy of formation from the pure elements comes out at -0.34 eV/atom.


[7]
The following is a PBE-GGA calculation of a relaxed CeZnIn crystal, from the Alexandria database.

Geometry as POSCAR:
```
CeZnIn
1.0
-2.338 2.769 -0.219
-3.623 -2.980 1.006
2.321 2.240 3.551
Zn Ce In
1 1 1
Cartesian
-0.050 0.961 2.667
-3.201 0.606 1.709
-0.390 0.462 -0.036
```

Calculated values
The calculation puts the volume at 24.12 A^3/atom. Its final energy is -3.643 eV/atom. Its density of states at the Fermi level is 5.93 states/eV/f.u. The energy of formation from the pure elements comes out at -0.33 eV/atom.


[8]
The following is a PBE-GGA calculation of a relaxed Ce2ZnIn3 crystal, from the Alexandria database.

Geometry as POSCAR:
```
Ce2ZnIn3
1.0
-2.938 -5.015 1.902
1.720 -0.932 -5.794
8.013 -0.329 4.675
Ce Zn In
4 2 6
Cartesian
4.562 -2.117 -1.532
-0.914 -4.466 -2.923
2.233 -4.159 2.315
-0.303 -1.481 -0.969
1.865 -4.077 -1.034
4.930 -2.199 1.817
1.795 -2.548 -3.348
7.265 -1.743 0.390
5.001 -3.728 4.131
-0.469 -4.533 0.393
2.538 -1.132 0.935
4.257 -5.144 -0.153
```

Calculated values
The calculation puts the volume at 25.39 A^3/atom. Its final energy is -3.902 eV/atom. Its density of states at the Fermi level is 12.72 states/eV/f.u. The energy of formation from the pure elements comes out at -0.34 eV/atom.


[9]
The following is a PBE-GGA calculation of a relaxed Ce12ZnIn3 crystal, from the Alexandria database.

Geometry as POSCAR:
```
Ce12ZnIn3
1.0
-2.451 -0.637 -4.073
-1.713 -4.153 1.680
-14.854 9.163 7.503
Ce Zn In
12 1 3
Cartesian
-2.082 -2.395 -1.197
-5.695 -0.166 0.629
-9.509 2.186 2.555
-13.322 4.539 4.482
-2.979 0.763 -1.151
-6.760 3.096 0.759
-10.545 5.430 2.671
-14.326 7.763 4.581
-2.610 -0.995 1.726
-6.391 1.338 3.636
-10.176 3.672 5.548
-13.957 6.005 7.458
0.000 0.000 0.000
-3.642 2.246 1.840
-7.427 4.581 3.752
-11.212 6.916 5.664
```

Calculated values
The calculation puts the volume at 27.31 A^3/atom. Its final energy is -5.193 eV/atom. Its density of states at the Fermi level is 49.31 states/eV/f.u. The energy of formation from the pure elements comes out at -0.15 eV/atom.


[10]
The following is a PBE-GGA calculation of a relaxed Ce2ZnIn3 crystal, from the Alexandria database.

Geometry as POSCAR:
```
Ce2ZnIn3
1.0
3.625 0.000 0.000
0.000 4.914 0.000
0.000 0.000 8.569
Ce Zn In
2 1 3
Cartesian
0.000 2.457 0.066
0.000 0.000 4.239
1.813 2.457 2.840
1.813 0.000 7.153
1.813 0.000 1.518
1.813 2.457 5.606
```

Calculated values
The calculation puts the volume at 25.44 A^3/atom. Its final energy is -3.901 eV/atom. Its density of states at the Fermi level is 12.40 states/eV/f.u. The energy of formation from the pure elements comes out at -0.34 eV/atom.


[11]
The following is a PBE-GGA calculation of a relaxed CeZnIn crystal, from the Alexandria database.

Geometry as POSCAR:
```
CeZnIn
1.0
4.791 0.000 0.000
2.395 4.149 0.000
2.395 1.383 3.912
Zn Ce In
1 1 1
Cartesian
2.395 1.383 0.978
4.791 2.766 1.956
0.000 0.000 0.000
```

Calculated values
The calculation puts the volume at 25.92 A^3/atom. Its final energy is -3.605 eV/atom. Its density of states at the Fermi level is 6.80 states/eV/f.u. The energy of formation from the pure elements comes out at -0.29 eV/atom.


[12]
The following is a PBE-GGA calculation of a relaxed CeZnIn crystal, from the Alexandria database.

Geometry as POSCAR:
```
CeZnIn
1.0
-2.532 -1.467 -3.807
1.074 -3.099 3.508
-6.129 1.733 3.409
Ce Zn In
2 2 2
Cartesian
0.000 0.000 0.000
-3.064 0.867 1.704
-4.725 -1.255 3.626
-2.862 -1.577 -0.517
-1.660 -2.121 1.921
-5.927 -0.711 1.187
```

Calculated values
The calculation puts the volume at 24.04 A^3/atom. Its final energy is -3.650 eV/atom. Its density of states at the Fermi level is 5.61 states/eV/f.u. The energy of formation from the pure elements comes out at -0.33 eV/atom.